(1)
FeAg2Ir: relaxed, PBE-GGA.

Computed properties:
V = 15.73 Å³ per atom
DOS at the Fermi energy = 4.6 states/eV/f.u.
ΔE to the lowest computed polymorph = 0.233 eV per atom
DFT formation energy = 0.430 eV per atom
E_tot = -5.33 eV/atom

```
data_FeAg2Ir
_cell_length_a 2.8128
_cell_length_b 4.6383
_cell_length_c 9.6439
_cell_angle_alpha 90.00
_cell_angle_beta 90.00
_cell_angle_gamma 90.00
_space_group_name_H-M_alt 'C m m m'
_space_group_IT_number 65
_space_group_name_Hall '-C 2 2'
loop_
_atom_site_label
_atom_site_type_symbol
_atom_site_fract_x
_atom_site_fract_y
_atom_site_fract_z
Fe1 Fe 0.0000 0.0000 0.0000
Ag1 Ag 0.0000 0.5000 0.2424
Ir1 Ir 0.0000 0.0000 0.5000
```

(2)
Ce2PuScSe4: relaxed, PBE-GGA.

Computed properties:
V = 24.54 Å³ per atom
DOS at the Fermi energy = 19.2 states/eV/f.u.
E_tot = -7.49 eV/atom

```
data_Ce2PuScSe4
_cell_length_a 7.1273
_cell_length_b 4.0870
_cell_length_c 7.1340
_cell_angle_alpha 90.00
_cell_angle_beta 109.12
_cell_angle_gamma 90.00
_space_group_name_H-M_alt 'P 1 2/m 1'
_space_group_IT_number 10
loop_
_space_group_symop_operation_xyz
'x,y,z'
'-x,-y,-z'
'-x,y,-z'
'x,-y,z'
loop_
_atom_site_label
_atom_site_type_symbol
_atom_site_fract_x
_atom_site_fract_y
_atom_site_fract_z
Ce1 Ce 0.0000 0.0000 0.0000
Ce2 Ce 0.5000 0.5000 0.0000
Pu1 Pu 0.0000 0.5000 0.5000
Sc1 Sc 0.5000 0.0000 0.5000
Se1 Se 0.2551 0.0000 0.7365
Se2 Se 0.2658 0.5000 0.2694
```

(3)
NdU5P6: relaxed, PBE-GGA.

Computed properties:
V = 22.18 Å³ per atom
DOS at the Fermi energy = 29.0 states/eV/f.u.
DFT formation energy = -1.043 eV per atom
E_tot = -8.85 eV/atom

```
data_NdU5P6
_cell_length_a 6.8753
_cell_length_b 11.9277
_cell_length_c 6.8880
_cell_angle_alpha 90.00
_cell_angle_beta 109.51
_cell_angle_gamma 90.00
_space_group_name_H-M_alt 'C 1 2/m 1'
_space_group_IT_number 12
loop_
_space_group_symop_operation_xyz
'x,y,z'
'-x,-y,-z'
'-x,y,-z'
'x,-y,z'
'x+1/2,y+1/2,z'
'-x+1/2,-y+1/2,-z'
'-x+1/2,y+1/2,-z'
'x+1/2,-y+1/2,z'
loop_
_atom_site_label
_atom_site_type_symbol
_atom_site_fract_x
_atom_site_fract_y
_atom_site_fract_z
Nd1 Nd 0.0000 0.0000 0.0000
U1 U 0.0000 0.1636 0.5000
U2 U 0.0000 0.3329 0.0000
U3 U 0.0000 0.5000 0.5000
P1 P 0.2423 0.5000 0.2530
P2 P 0.2434 0.3291 0.7440
```

(4)
DyAg2Bi: relaxed, PBE-GGA.

Computed properties:
V = 23.59 Å³ per atom
DOS at the Fermi energy = 1.8 states/eV/f.u.
DFT formation energy = -0.310 eV per atom
E_tot = -3.86 eV/atom

```
data_DyAg2Bi
_cell_length_a 4.4130
_cell_length_b 4.4130
_cell_length_c 4.8457
_cell_angle_alpha 90.00
_cell_angle_beta 90.00
_cell_angle_gamma 90.00
_space_group_name_H-M_alt 'P 4/m m m'
_space_group_IT_number 123
_space_group_name_Hall '-P 4 2'
loop_
_atom_site_label
_atom_site_type_symbol
_atom_site_fract_x
_atom_site_fract_y
_atom_site_fract_z
Dy1 Dy 0.0000 0.0000 0.0000
Ag1 Ag 0.0000 0.5000 0.5000
Bi1 Bi 0.5000 0.5000 0.0000
```

(5)
La2AlZn4Cd3: relaxed, PBE-GGA.

Computed properties:
V = 22.36 Å³ per atom
DOS at the Fermi energy = 6.3 states/eV/f.u.
DFT formation energy = -0.280 eV per atom
E_tot = -2.42 eV/atom

```
data_La2AlZn4Cd3
_cell_length_a 4.4396
_cell_length_b 4.4396
_cell_length_c 11.3444
_cell_angle_alpha 90.00
_cell_angle_beta 90.00
_cell_angle_gamma 90.00
_space_group_name_H-M_alt 'P -4 m 2'
_space_group_IT_number 115
loop_
_space_group_symop_operation_xyz
'x,y,z'
'y,-x,-z'
'-x,-y,z'
'-y,x,-z'
'-x,y,z'
'-y,-x,-z'
'x,-y,z'
'y,x,-z'
loop_
_atom_site_label
_atom_site_type_symbol
_atom_site_fract_x
_atom_site_fract_y
_atom_site_fract_z
La1 La 0.0000 0.5000 0.2452
Al1 Al 0.5000 0.5000 0.0000
Zn1 Zn 0.0000 0.0000 0.5000
Zn2 Zn 0.0000 0.5000 0.8677
Zn3 Zn 0.5000 0.5000 0.5000
Cd1 Cd 0.0000 0.0000 0.0000
Cd2 Cd 0.0000 0.5000 0.6360
```

(6)
ScAs3I: relaxed, PBE-GGA.

Computed properties:
V = 27.86 Å³ per atom
DOS at the Fermi energy = 10.3 states/eV/f.u.
ΔE to the lowest computed polymorph = 0.000 eV per atom
E_tot = -4.08 eV/atom

```
data_ScAs3I
_cell_length_a 5.1841
_cell_length_b 5.1841
_cell_length_c 5.1841
_cell_angle_alpha 90.00
_cell_angle_beta 90.00
_cell_angle_gamma 90.00
_space_group_name_H-M_alt 'P m -3 m'
_space_group_IT_number 221
_space_group_name_Hall '-P 4 2 3'
loop_
_atom_site_label
_atom_site_type_symbol
_atom_site_fract_x
_atom_site_fract_y
_atom_site_fract_z
Sc1 Sc 0.0000 0.0000 0.0000
As1 As 0.0000 0.0000 0.5000
I1 I 0.5000 0.5000 0.5000
```

- What is the E_tot in the third record?
  -8.85 eV/atom

- Which value of V does entry 5 give?
  22.36 Å³ per atom